CsBaBiOs: relaxed, GGA-PBE.

It has space group P1 (No. 1), with a = 4.6837 Å, b = 4.6974 Å, c = 10.1784 Å, α = 76.94°, β = 77.36° and γ = 60.25°. The distinct sites, in fractional coordinates, are Cs at (0.0000, 0.0000, 0.0000), Ba at (0.8444, 0.8288, 0.5061), Bi at (0.5833, 0.5734, 0.2725) and Os at (0.2399, 0.2280, 0.3053).

The value obtained for the formation energy is 0.295 eV/atom. The total magnetic moment is 0.0 μB per formula unit. As for the crystal system: triclinic.


SbRu2: relaxed, GGA-PBE.

It has space group P-62m (No. 189), with a = 6.6155 Å, b = 6.6155 Å, c = 4.0237 Å, α = 90.00°, β = 90.00° and γ = 120.00°. The distinct sites, in fractional coordinates, are Sb at (0.0000, 0.0000, 0.0000), Sb at (0.3333, 0.6667, 0.5000), Ru at (0.0000, 0.2514, 0.5000) and Ru at (0.0000, 0.5963, 0.0000).

As for the uncorrected formation energy: 260 meV per atom. The total magnetic moment is 0.0 μB per formula unit. As for the crystal system: hexagonal.


PrNd2In6: relaxed, GGA-PBE.

It has space group P6/mmm (No. 191), with a = 8.6854 Å, b = 8.6854 Å, c = 3.7447 Å, α = 90.00°, β = 90.00° and γ = 120.00°. The distinct sites, in fractional coordinates, are Pr at (0.0000, 0.0000, 0.0000), Nd at (0.3333, 0.6667, 0.0000) and In at (0.0000, 0.3338, 0.5000).

The value obtained for the formation energy is -0.471 eV/atom. The total magnetic moment is 0.0 μB per formula unit. As for the crystal system: hexagonal.


CaSbSe: relaxed, GGA-PBE.

It has space group P-6m2 (No. 187), with a = 5.0550 Å, b = 5.0550 Å, c = 3.7092 Å, α = 90.00°, β = 90.00° and γ = 120.00°. The distinct sites, in fractional coordinates, are Ca at (0.0000, 0.0000, 0.0000), Sb at (0.6667, 0.3333, 0.5000) and Se at (0.3333, 0.6667, 0.5000).

As for the uncorrected formation energy: -580 meV per atom. The total magnetic moment is 0.0 μB per formula unit. As for the crystal system: hexagonal.


TaCoBr2: relaxed, GGA-PBE.

It has space group C2/m (No. 12), with a = 6.0734 Å, b = 8.6189 Å, c = 3.1961 Å, α = 90.00°, β = 114.63° and γ = 90.00°. The distinct sites, in fractional coordinates, are Ta at (0.0000, 0.0000, 0.0000), Co at (0.0000, 0.5000, 0.0000) and Br at (0.2500, 0.2500, 0.0000).

As for the uncorrected formation energy: 717 meV per atom. The total magnetic moment is 1.4 μB per formula unit. As for the crystal system: monoclinic.


Np2UC: relaxed, GGA-PBE.

It has space group P4/mmm (No. 123), with a = 3.3778 Å, b = 3.3778 Å, c = 5.5898 Å, α = 90.00°, β = 90.00° and γ = 90.00°. The distinct sites, in fractional coordinates, are Np at (0.0000, 0.0000, 0.2158), U at (0.5000, 0.5000, 0.5000) and C at (0.5000, 0.5000, 0.0000).

The value obtained for the formation energy is 0.443 eV/atom. The total magnetic moment is 1.6 μB per formula unit. As for the crystal system: tetragonal.


Y8Ho2Tm: relaxed, GGA-PBE.

It has space group C2/m (No. 12), with a = 9.0217 Å, b = 16.1901 Å, c = 5.8714 Å, α = 90.00°, β = 123.73° and γ = 90.00°. The distinct sites, in fractional coordinates, are Y at (0.0000, 0.2056, 0.0000), Y at (0.0723, 0.5000, 0.7939), Y at (0.2166, 0.1183, 0.6776), Ho at (0.0000, 0.3082, 0.5000) and Tm at (0.0000, 0.0000, 0.0000).

The value obtained for the formation energy is 0.163 eV/atom. The total magnetic moment is 0.0 μB per formula unit. As for the crystal system: monoclinic.


SrSn8Ru2: relaxed, GGA-PBE.

It has space group P4/mmm (No. 123), with a = 6.4127 Å, b = 6.4127 Å, c = 8.3956 Å, α = 90.00°, β = 90.00° and γ = 90.00°. The distinct sites, in fractional coordinates, are Sr at (0.0000, 0.0000, 0.0000), Sn at (0.2539, 0.2539, 0.3119) and Ru at (0.0000, 0.5000, 0.5000).

The value obtained for the formation energy is 0.010 eV/atom. The total magnetic moment is 0.0 μB per formula unit. As for the crystal system: tetragonal.


Listing electronic total energy for the structures above in their given order: -16.71, -65.69, -34.99, -11.35, -38.87, -44.62, -127.10, -52.14 eV/cell.